[1]
Material: SrBi3F12
Method: DFT, PBE
State: relaxed

extended XYZ file:
```
32
Lattice="-1.350 3.799 5.432 -10.777 -0.590 -2.266 4.697 -7.591 6.477" Properties=species:S:1:pos:R:3 pbc="T T T"
F -8.317 0.460 -0.283
F -6.843 1.948 3.255
F -5.053 -0.208 2.682
F 0.152 0.846 5.765
F -5.460 -3.228 7.219
F -4.407 -0.686 5.703
F -1.517 -1.921 5.599
F -7.714 -0.972 2.555
F -5.374 -3.983 1.869
F -0.257 -1.890 9.263
F 0.283 -3.411 7.088
F -2.377 -4.175 6.961
F -7.583 -5.229 3.878
F 1.216 -2.896 4.434
F -2.918 -2.654 9.136
F -0.588 -6.330 6.387
F -7.173 -2.493 0.380
F -3.024 -3.697 3.940
F -4.513 -1.729 0.507
F -5.914 -2.462 4.044
F -1.970 -1.154 2.424
F 0.887 -4.843 9.926
F -2.057 -0.400 7.774
F -8.647 -1.486 5.209
Bi -3.804 -2.071 2.609
Bi -3.627 -2.311 7.034
Bi -0.758 -4.058 8.969
Bi -6.673 -0.324 0.674
Bi -7.394 -3.527 2.735
Bi -0.037 -0.855 6.908
Sr -6.632 -0.075 4.722
Sr -0.799 -4.308 4.920
```

Properties
- Space-group type: No. 176
- E: -4.6655 eV/atom
- Crystal system: hexagonal
- Total magnetization: 1.11 μB per formula unit

[2]
Material: MgBeRu2
Method: DFT, PBE
State: relaxed

extended XYZ file:
```
8
Lattice="3.882 0.000 0.000 0.000 3.882 0.000 1.941 1.941 8.510" Properties=species:S:1:pos:R:3 pbc="T T T"
Ru 1.300 0.970 2.127
Ru 2.582 2.911 2.127
Ru 2.911 4.523 6.382
Ru 4.852 3.241 6.382
Mg 0.000 0.000 0.000
Mg 3.882 1.941 4.255
Be 1.941 1.941 0.000
Be 1.941 3.882 4.255
```

Properties
- ΔE_f: 2.0 eV/f.u.
- Space-group type: No. 122
- Crystal system: tetragonal
- Total magnetization: 0.00 μB per formula unit

Please write out number 2 again, unchanged.
Material: MgBeRu2
Method: DFT, PBE
State: relaxed

extended XYZ file:
```
8
Lattice="3.882 0.000 0.000 0.000 3.882 0.000 1.941 1.941 8.510" Properties=species:S:1:pos:R:3 pbc="T T T"
Ru 1.300 0.970 2.127
Ru 2.582 2.911 2.127
Ru 2.911 4.523 6.382
Ru 4.852 3.241 6.382
Mg 0.000 0.000 0.000
Mg 3.882 1.941 4.255
Be 1.941 1.941 0.000
Be 1.941 3.882 4.255
```

Properties
- ΔE_f: 2.0 eV/f.u.
- Space-group type: No. 122
- Crystal system: tetragonal
- Total magnetization: 0.00 μB per formula unit

- Look up the total magnetization of the first one.
  1.11 μB per formula unit